# 1
Below is a geometry-optimized Zn5CuRh structure, with properties calculated at the PBE-GGA level.

a b c (Å): 9.6252 7.2858 6.3308
angles (deg): 90.00 109.57 90.00
Space group C2/c (No. 15)
One atom of each set of equivalent atoms:
Zn: 0.0000 0.0847 0.2500 x4
Zn: 0.0993 0.4133 0.1459 x8
Zn: 0.2059 0.0984 0.0704 x8
Cu: 0.2500 0.2500 0.5000 x4
Rh: 0.0000 0.2779 0.7500 x4

DOS(E_F) ... 0.311 states/eV/atom
Final energy ... -2.594 eV per atom
M_tot ... 0.00 μB per formula unit

# 2
Below is a geometry-optimized BaYCo2Ni structure, with properties calculated at the PBE-GGA level.

a b c (Å): 4.7075 4.7075 5.1334
angles (deg): 90.00 90.00 90.00
Space group P4/mmm (No. 123)
One atom of each set of equivalent atoms:
Ba: 0.0000 0.0000 0.0000 x1
Y: 0.5000 0.5000 0.0000 x1
Co: 0.0000 0.5000 0.5000 x2
Ni: 0.0000 0.0000 0.5000 x1

DOS(E_F) ... 1.769 states/eV/atom
Final energy ... -4.808 eV per atom
M_tot ... 3.53 μB per formula unit

# 3
Below is a geometry-optimized HoHfB structure, with properties calculated at the PBE-GGA level.

a b c (Å): 4.3041 4.3041 6.7411
angles (deg): 90.00 90.00 90.00
Space group P4/nmm (No. 129, origin choice 2)
One atom of each set of equivalent atoms:
Ho: 0.2500 0.2500 0.1709 x2
Hf: 0.2500 0.2500 0.6262 x2
B: 0.2500 0.7500 0.5000 x2

DOS(E_F) ... 0.684 states/eV/atom
Final energy ... -7.088 eV per atom
M_tot ... 0.00 μB per formula unit

# 4
Below is a geometry-optimized CaMg2ZnSi2 structure, with properties calculated at the PBE-GGA level.

a b c (Å): 5.3298 5.3298 10.5575
angles (deg): 90.00 90.00 90.00
Space group I4/mmm (No. 139)
One atom of each set of equivalent atoms:
Ca: 0.0000 0.0000 0.0000 x2
Mg: 0.0000 0.5000 0.2500 x4
Zn: 0.0000 0.0000 0.5000 x2
Si: 0.0000 0.0000 0.2835 x4

Formation energy without anion corrections ... 0.10 eV/atom
DOS(E_F) ... 0.432 states/eV/atom
M_tot ... 0.00 μB per formula unit